Entry 1:
Computed, not measured: an optimized crystal structure of NdEuErTm at the PBE level of DFT.

a = 5.752 Å, b = 5.752 Å, c = 5.752 Å
α = 60.00°, β = 60.00°, γ = 60.00°
Site moments in Bohr magnetons follow the coordinates.
Fractional coordinates of all 4 atoms:
Eu (0.750, 0.750, 0.750)  6.84
Nd (0.250, 0.250, 0.250)  -0.06
Tm (0.500, 0.500, 0.500)  0.01
Er (0.000, 0.000, 0.000)  0.01

Results
final energy	-5.88	eV/atom
SG	No. 216
crystal system	cubic
density	7.81	g/cm3

Entry 2:
Computed, not measured: an optimized crystal structure of NdEuYEr at the PBE level of DFT.

a = 5.796 Å, b = 5.796 Å, c = 5.796 Å
α = 60.00°, β = 60.00°, γ = 60.00°
Site moments in Bohr magnetons follow the coordinates.
Fractional coordinates of all 4 atoms:
Er (0.000, 0.000, 0.000)  -0.20
Eu (0.500, 0.500, 0.500)  -6.88
Y (0.750, 0.750, 0.750)  -0.14
Nd (0.250, 0.250, 0.250)  -0.14

Results
final energy	-6.37	eV/atom
SG	No. 216
crystal system	cubic
density	6.66	g/cm3

Entry 3:
Computed, not measured: an optimized crystal structure of EuErNi at the PBE level of DFT.

a = 3.462 Å, b = 3.462 Å, c = 6.785 Å
α = 104.78°, β = 104.78°, γ = 90.00°
Site moments in Bohr magnetons follow the coordinates.
Fractional coordinates of all 3 atoms:
Er (0.289, 0.289, 0.579)  0.07
Eu (0.029, 0.029, 0.058)  6.88
Ni (0.682, 0.682, 0.364)  0.00

Results
final energy	-7.05	eV/atom
SG	No. 107
crystal system	tetragonal
density	8.27	g/cm3

Entry 4:
Computed, not measured: an optimized crystal structure of EuErNi4 at the PBE level of DFT.

a = 5.097 Å, b = 5.097 Å, c = 5.097 Å
α = 60.00°, β = 60.00°, γ = 60.00°
Site moments in Bohr magnetons follow the coordinates.
Fractional coordinates of all 6 atoms:
Ni (0.124, 0.625, 0.625)  0.14
Ni (0.625, 0.625, 0.124)  0.14
Ni (0.625, 0.625, 0.625)  0.14
Ni (0.625, 0.124, 0.625)  0.14
Er (0.000, 0.000, 0.000)  -0.14
Eu (0.250, 0.250, 0.250)  -6.75

Results
final energy	-6.65	eV/atom
SG	No. 216
crystal system	cubic
density	9.82	g/cm3

Entry 5:
Computed, not measured: an optimized crystal structure of EuErNi2 at the PBE level of DFT.

a = 3.403 Å, b = 3.403 Å, c = 6.918 Å
α = 90.00°, β = 90.00°, γ = 90.00°
Site moments in Bohr magnetons follow the coordinates.
Fractional coordinates of all 4 atoms:
Er (0.500, 0.500, 0.000)  0.04
Ni (0.000, 0.000, 0.787)  -0.02
Ni (0.000, 0.000, 0.213)  -0.02
Eu (0.500, 0.500, 0.500)  6.83

Results
final energy	-6.86	eV/atom
SG	No. 123
crystal system	tetragonal
density	9.05	g/cm3

Entry 6:
Computed, not measured: an optimized crystal structure of EuErNi2 at the PBE level of DFT.

a = 4.817 Å, b = 4.817 Å, c = 4.817 Å
α = 60.00°, β = 60.00°, γ = 60.00°
Site moments in Bohr magnetons follow the coordinates.
Fractional coordinates of all 4 atoms:
Ni (0.250, 0.250, 0.250)  0.00
Ni (0.750, 0.750, 0.750)  0.00
Eu (0.000, 0.000, 0.000)  6.74
Er (0.500, 0.500, 0.500)  0.09

Results
final energy	-6.80	eV/atom
SG	No. 225
crystal system	cubic
density	9.17	g/cm3

Entry 7:
Computed, not measured: an optimized crystal structure of EuErNiPt at the PBE level of DFT.

a = 4.912 Å, b = 4.912 Å, c = 4.912 Å
α = 60.00°, β = 60.00°, γ = 60.00°
Site moments in Bohr magnetons follow the coordinates.
Fractional coordinates of all 4 atoms:
Eu (0.000, 0.000, 0.000)  -6.73
Er (0.500, 0.500, 0.500)  -0.07
Pt (0.750, 0.750, 0.750)  0.01
Ni (0.250, 0.250, 0.250)  0.00

Results
final energy	-7.29	eV/atom
SG	No. 216
crystal system	cubic
density	11.35	g/cm3

Entry 8:
Computed, not measured: an optimized crystal structure of EuErNiRh at the PBE level of DFT.

a = 4.862 Å, b = 4.862 Å, c = 4.862 Å
α = 60.00°, β = 60.00°, γ = 60.00°
Site moments in Bohr magnetons follow the coordinates.
Fractional coordinates of all 4 atoms:
Ni (0.750, 0.750, 0.750)  -0.15
Er (0.500, 0.500, 0.500)  0.06
Eu (0.000, 0.000, 0.000)  6.70
Rh (0.250, 0.250, 0.250)  -0.14

Results
final energy	-7.39	eV/atom
SG	No. 216
crystal system	cubic
density	9.83	g/cm3

Entry 9:
Computed, not measured: an optimized crystal structure of EuErZnNi at the PBE level of DFT.

a = 4.975 Å, b = 4.975 Å, c = 4.975 Å
α = 60.00°, β = 60.00°, γ = 60.00°
Site moments in Bohr magnetons follow the coordinates.
Fractional coordinates of all 4 atoms:
Er (0.000, 0.000, 0.000)  0.03
Ni (0.250, 0.250, 0.250)  -0.04
Zn (0.750, 0.750, 0.750)  0.01
Eu (0.500, 0.500, 0.500)  6.74

Results
final energy	-5.68	eV/atom
SG	No. 216
crystal system	cubic
density	8.46	g/cm3

Entry 10:
Computed, not measured: an optimized crystal structure of EuEr2O4 at the PBE level of DFT.

a = 3.383 Å, b = 10.020 Å, c = 11.881 Å
α = 90.00°, β = 90.00°, γ = 90.00°
Site moments in Bohr magnetons follow the coordinates.
Fractional coordinates of all 28 atoms:
Eu (0.250, 0.747, 0.149)  6.83
Eu (0.750, 0.253, 0.851)  6.83
Eu (0.250, 0.247, 0.351)  6.83
Eu (0.750, 0.753, 0.649)  6.83
O (0.750, 0.711, 0.325)  -0.01
O (0.750, 0.211, 0.175)  -0.01
O (0.750, 0.516, 0.784)  -0.01
O (0.250, 0.577, 0.577)  -0.02
O (0.250, 0.484, 0.216)  -0.01
O (0.250, 0.789, 0.825)  -0.01
O (0.250, 0.289, 0.675)  -0.01
O (0.250, 0.984, 0.284)  -0.01
O (0.750, 0.126, 0.479)  -0.02
O (0.750, 0.423, 0.423)  -0.02
O (0.750, 0.016, 0.716)  -0.01
O (0.250, 0.077, 0.923)  -0.02
O (0.750, 0.923, 0.077)  -0.02
O (0.250, 0.874, 0.521)  -0.02
O (0.750, 0.626, 0.021)  -0.02
O (0.250, 0.374, 0.979)  -0.02
Er (0.250, 0.078, 0.610)  0.02
Er (0.750, 0.922, 0.390)  0.02
Er (0.750, 0.924, 0.888)  0.04
Er (0.250, 0.576, 0.388)  0.04
Er (0.250, 0.076, 0.112)  0.04
Er (0.250, 0.578, 0.890)  0.02
Er (0.750, 0.424, 0.612)  0.04
Er (0.750, 0.422, 0.110)  0.02

Results
final energy	-8.97	eV/atom
formation energy without anion corrections	-3368	meV/atom
SG	No. 62
crystal system	orthorhombic
density	9.08	g/cm3

Entry 11:
Computed, not measured: an optimized crystal structure of EuErO at the PBE level of DFT.

a = 3.570 Å, b = 3.570 Å, c = 6.054 Å
α = 90.00°, β = 90.00°, γ = 120.00°
Site moments in Bohr magnetons follow the coordinates.
Fractional coordinates of all 3 atoms:
Er (0.333, 0.667, 0.549)  0.52
O (0.667, 0.333, 0.370)  0.00
Eu (0.000, 0.000, 0.081)  7.08

Results
final energy	-8.33	eV/atom
formation energy without anion corrections	-1734	meV/atom
SG	No. 156
crystal system	trigonal
density	8.33	g/cm3

Entry 12:
Computed, not measured: an optimized crystal structure of EuEr3O at the PBE level of DFT.

a = 4.947 Å, b = 4.947 Å, c = 4.947 Å
α = 90.00°, β = 90.00°, γ = 90.00°
Site moments in Bohr magnetons follow the coordinates.
Fractional coordinates of all 5 atoms:
Eu (0.500, 0.500, 0.500)  6.83
Er (0.500, 0.000, 0.000)  0.15
Er (0.000, 0.500, 0.000)  0.15
Er (0.000, 0.000, 0.500)  0.15
O (0.000, 0.000, 0.000)  0.01

Results
final energy	-6.77	eV/atom
formation energy without anion corrections	-981	meV/atom
SG	No. 221
crystal system	cubic
density	9.18	g/cm3

Entry 13:
Computed, not measured: an optimized crystal structure of EuEr3Os at the PBE level of DFT.

a = 5.435 Å, b = 5.435 Å, c = 5.435 Å
α = 90.00°, β = 90.00°, γ = 90.00°
Site moments in Bohr magnetons follow the coordinates.
Fractional coordinates of all 5 atoms:
Er (0.000, 0.000, 0.500)  0.03
Er (0.000, 0.500, 0.000)  0.03
Er (0.500, 0.000, 0.000)  0.03
Eu (0.500, 0.500, 0.500)  6.88
Os (0.000, 0.000, 0.000)  -0.01

Results
final energy	-7.14	eV/atom
SG	No. 221
crystal system	cubic
density	8.73	g/cm3

Entry 14:
Computed, not measured: an optimized crystal structure of EuErOs4 at the PBE level of DFT.

a = 5.373 Å, b = 5.373 Å, c = 5.373 Å
α = 60.00°, β = 60.00°, γ = 60.00°
Site moments in Bohr magnetons follow the coordinates.
Fractional coordinates of all 6 atoms:
Os (0.625, 0.125, 0.625)  -0.23
Os (0.125, 0.625, 0.625)  -0.23
Os (0.625, 0.625, 0.125)  -0.23
Os (0.625, 0.625, 0.625)  -0.23
Eu (0.250, 0.250, 0.250)  6.58
Er (0.000, 0.000, 0.000)  0.06

Results
final energy	-10.04	eV/atom
SG	No. 216
crystal system	cubic
density	16.35	g/cm3

Entry 15:
Computed, not measured: an optimized crystal structure of EuErZnOs at the PBE level of DFT.

a = 4.941 Å, b = 4.941 Å, c = 4.941 Å
α = 60.00°, β = 60.00°, γ = 60.00°
Site moments in Bohr magnetons follow the coordinates.
Fractional coordinates of all 4 atoms:
Er (0.500, 0.500, 0.500)  0.05
Zn (0.250, 0.250, 0.250)  0.01
Os (0.750, 0.750, 0.750)  -0.17
Eu (0.000, 0.000, 0.000)  6.72

Results
final energy	-6.90	eV/atom
SG	No. 216
crystal system	cubic
density	11.19	g/cm3

Entry 16:
Computed, not measured: an optimized crystal structure of Eu2ErP at the PBE level of DFT.

a = 3.895 Å, b = 3.895 Å, c = 10.769 Å
α = 79.58°, β = 79.58°, γ = 60.00°
Site moments in Bohr magnetons follow the coordinates.
Fractional coordinates of all 4 atoms:
P (0.500, 0.500, 0.500)  -0.13
Eu (0.888, 0.888, 0.337)  6.79
Eu (0.112, 0.112, 0.663)  6.79
Er (0.000, 0.000, 0.000)  0.17

Results
final energy	-7.96	eV/atom
SG	No. 166
crystal system	trigonal
density	6.03	g/cm3

Entry 17:
Computed, not measured: an optimized crystal structure of EuEr2P at the PBE level of DFT.

a = 3.782 Å, b = 3.782 Å, c = 10.463 Å
α = 79.59°, β = 79.59°, γ = 60.00°
Site moments in Bohr magnetons follow the coordinates.
Fractional coordinates of all 4 atoms:
Er (0.885, 0.885, 0.345)  -0.04
Er (0.115, 0.115, 0.655)  -0.04
P (0.500, 0.500, 0.500)  0.00
Eu (0.000, 0.000, 0.000)  7.00

Results
final energy	-6.78	eV/atom
SG	No. 166
crystal system	trigonal
density	6.78	g/cm3

Entry 18:
Computed, not measured: an optimized crystal structure of EuErP2 at the PBE level of DFT.

a = 4.059 Å, b = 4.059 Å, c = 7.068 Å
α = 73.31°, β = 73.31°, γ = 60.00°
Site moments in Bohr magnetons follow the coordinates.
Fractional coordinates of all 4 atoms:
Eu (0.500, 0.500, 0.500)  6.57
Er (0.000, 0.000, 0.000)  -0.07
P (0.254, 0.254, 0.237)  -0.09
P (0.746, 0.746, 0.763)  -0.09

Results
final energy	-7.74	eV/atom
SG	No. 166
crystal system	trigonal
density	6.65	g/cm3

Entry 19:
Computed, not measured: an optimized crystal structure of EuErPb2 at the PBE level of DFT.

a = 3.815 Å, b = 3.815 Å, c = 10.180 Å
α = 79.20°, β = 79.20°, γ = 60.00°
Site moments in Bohr magnetons follow the coordinates.
Fractional coordinates of all 4 atoms:
Er (0.000, 0.000, 0.000)  -0.06
Eu (0.500, 0.500, 0.500)  6.94
Pb (0.253, 0.253, 0.240)  -0.01
Pb (0.747, 0.747, 0.760)  -0.01

Results
final energy	-5.93	eV/atom
SG	No. 166
crystal system	trigonal
density	9.72	g/cm3

Entry 20:
Computed, not measured: an optimized crystal structure of EuErPb at the PBE level of DFT.

a = 3.809 Å, b = 5.413 Å, c = 5.413 Å
α = 120.00°, β = 90.00°, γ = 90.00°
Site moments in Bohr magnetons follow the coordinates.
Fractional coordinates of all 3 atoms:
Er (0.499, 0.667, 0.333)  0.30
Eu (0.000, 0.000, 0.000)  6.93
Pb (0.502, 0.333, 0.667)  -0.04

Results
final energy	-6.44	eV/atom
SG	No. 156
crystal system	trigonal
density	9.04	g/cm3